First-principles (GGA-PBE) data for a geometry-optimized CuS2Cl6 structure, as listed in the Alexandria database.

Lattice parameters (Å, degrees): 7.847 7.847 10.014 109.76 109.76 86.62
Sites, in units of the cell vectors:
Cu  0.007  0.993  0.750
Cu  0.993  0.007  0.250
S  0.288  0.531  0.252
S  0.469  0.712  0.248
S  0.531  0.288  0.752
S  0.712  0.469  0.748
Cl  0.004  0.708  0.622
Cl  0.010  0.736  0.097
Cl  0.264  0.990  0.403
Cl  0.292  0.996  0.878
Cl  0.329  0.439  0.793
Cl  0.439  0.329  0.293
Cl  0.561  0.671  0.707
Cl  0.671  0.561  0.207
Cl  0.708  0.004  0.122
Cl  0.736  0.010  0.597
Cl  0.990  0.264  0.903
Cl  0.996  0.292  0.378

Summary:
Formation energy (no corrections)   -159 meV/atom
Total magnetic moment   2.03 μB per cell